(1)
A plane-wave DFT calculation with PBE-GGA was carried out for an optimized crystal structure of ScZnCd11.

Its space group is C2/m, No. 12. The total magnetization is 0.00 μB per formula unit. The calculation puts the volume at 284.0 Å³/cell. As for the formation energy: -0.2 kcal/mol of atoms.

a b c (Å): 5.905 7.504 7.546
angles (deg): 81.34 66.96 67.36
Fractional positions:
Cd: 0.299 0.216 0.209
Cd: 0.649 0.350 0.342
Cd: 0.701 0.784 0.791
Cd: 0.009 0.650 0.342
Cd: 0.492 0.784 0.209
Cd: 0.500 0.000 0.500
Cd: 0.000 0.500 0.000
Cd: 0.000 0.000 0.500
Zn: 0.500 0.500 0.000
Cd: 0.508 0.216 0.791
Cd: 0.991 0.350 0.658
Sc: 0.000 0.000 0.000
Cd: 0.351 0.650 0.658

---

(2)
A plane-wave DFT calculation with PBE-GGA was carried out for an optimized crystal structure of CaCoCl.

Its energy relative to the elements, uncorrected is 0.099 eV per atom. Its space group is F-43m, No. 216. The total magnetization is 1.77 μB per formula unit. The calculation puts the volume at 69.6 Å³/cell.

a b c (Å): 4.618 4.618 4.618
angles (deg): 60.00 60.00 60.00
Each line ends with the local moment (μB).
Fractional positions:
Co: 0.250 0.250 0.250  1.80
Ca: 0.750 0.750 0.750  -0.04
Cl: 0.000 0.000 0.000  0.08

---

(3)
A plane-wave DFT calculation with PBE-GGA was carried out for an optimized crystal structure of BaTl2P2Se6.

Its energy relative to the elements, uncorrected is -0.419 eV per atom. Its space group is R-3m, No. 166. The total magnetization is 0.00 μB per formula unit. The calculation puts the volume at 385.0 Å³/cell.

a b c (Å): 7.249 7.249 9.439
angles (deg): 67.42 67.42 60.00
Fractional positions:
Se: 0.733 0.733 0.301
Se: 0.267 0.768 0.699
Se: 0.768 0.267 0.699
Se: 0.267 0.267 0.699
Se: 0.733 0.232 0.301
Ba: 0.000 0.000 0.000
Tl: 0.786 0.786 0.641
P: 0.407 0.407 0.779
P: 0.593 0.593 0.221
Se: 0.232 0.733 0.301
Tl: 0.214 0.214 0.359

---

Which formula does entry 2 have? CaCoCl

---

Please write out number 2 again, unchanged.
A plane-wave DFT calculation with PBE-GGA was carried out for an optimized crystal structure of CaCoCl.

Its energy relative to the elements, uncorrected is 0.099 eV per atom. Its space group is F-43m, No. 216. The total magnetization is 1.77 μB per formula unit. The calculation puts the volume at 69.6 Å³/cell.

a b c (Å): 4.618 4.618 4.618
angles (deg): 60.00 60.00 60.00
Each line ends with the local moment (μB).
Fractional positions:
Co: 0.250 0.250 0.250  1.80
Ca: 0.750 0.750 0.750  -0.04
Cl: 0.000 0.000 0.000  0.08

---

Look up the total magnetization of the third one. 0.00 μB per formula unit